#w
PBE LuBeZn, relaxed; calculated volume = 65 Å³/cell; space-group type = F-43m (216); density = 6.4 g/cm³
1.0
0.000 3.187 3.187
3.187 0.000 3.187
3.187 3.187 0.000
Lu Be Zn
1 1 1
Direct
0.000 0.000 0.000
0.250 0.250 0.250
0.750 0.750 0.750

#x
PBE LuBeZn, relaxed; calculated volume = 55 Å³/cell; space-group type = F-43m (216); density = 7.5 g/cm³
1.0
0.000 3.019 3.019
3.019 0.000 3.019
3.019 3.019 0.000
Lu Be Zn
1 1 1
Direct
0.250 0.250 0.250
0.000 0.000 0.000
0.750 0.750 0.750

Compare the structures above. Which one is the least stable? #w is.